[1]
Below is a relaxed structure of Hf13Fe2, with properties calculated at the PBE-GGA level.

Calculated values
Crystal system: triclinic
DFT total energy, eV for the cell shown: -146.36
Energy of formation from the pure elements, eV per atom: -0.003
Fermi-level density of states, states/eV per cell: 16.304

Cell lengths 5.814, 7.369, 8.244 Å; angles 64.10, 89.43, 80.03 degrees
Positions (direct):
Hf (0.000, 0.000, 0.000)
Hf (0.032, 0.549, 0.663)
Hf (0.187, 0.000, 0.637)
Hf (0.232, 0.597, 0.984)
Hf (0.271, 0.134, 0.229)
Hf (0.448, 0.214, 0.846)
Hf (0.484, 0.342, 0.427)
Hf (0.516, 0.658, 0.573)
Hf (0.552, 0.786, 0.154)
Hf (0.729, 0.866, 0.771)
Hf (0.768, 0.403, 0.016)
Hf (0.813, 0.000, 0.363)
Hf (0.968, 0.451, 0.337)
Fe (0.185, 0.750, 0.329)
Fe (0.815, 0.250, 0.671)

[2]
Below is a relaxed structure of TbDy2Ho8, with properties calculated at the PBE-GGA level.

Calculated values
Crystal system: orthorhombic
DFT total energy, eV for the cell shown: -49.18
Energy of formation from the pure elements, eV per atom: 0.116
Energy above the lowest structure with this stoichiometry, kJ/mol of formula units: 0
Fermi-level density of states, states/eV per cell: 15.920

Cell lengths 9.268, 9.268, 9.268 Å; angles 145.70, 128.57, 63.29 degrees
Positions (direct):
Tb (0.000, 0.000, 0.000)
Dy (0.299, 0.299, 0.000)
Dy (0.701, 0.701, 0.000)
Ho (0.155, 0.862, 0.293)
Ho (0.162, 0.662, 0.500)
Ho (0.294, 0.500, 0.794)
Ho (0.431, 0.138, 0.293)
Ho (0.569, 0.862, 0.707)
Ho (0.706, 0.500, 0.206)
Ho (0.838, 0.338, 0.500)
Ho (0.845, 0.138, 0.707)

[3]
Below is a relaxed structure of FeNiTeN2, with properties calculated at the PBE-GGA level.

Calculated values
Crystal system: tetragonal
DFT total energy, eV for the cell shown: -27.16
Energy above the lowest structure with this stoichiometry, kJ/mol of formula units: 271
Fermi-level density of states, states/eV per cell: 7.966

Cell lengths 3.705, 3.705, 5.476 Å; angles 90.00, 90.00, 90.00 degrees
Positions (direct):
Fe (0.000, 0.000, 0.000)
Ni (0.500, 0.500, 0.500)
Te (0.500, 0.500, 0.000)
N (0.000, 0.500, 0.500)
N (0.500, 0.000, 0.500)

[4]
Below is a relaxed structure of Cs5K12Cd2, with properties calculated at the PBE-GGA level.

Calculated values
Crystal system: monoclinic
DFT total energy, eV for the cell shown: -19.00
Energy of formation from the pure elements, eV per atom: 0.014
Fermi-level density of states, states/eV per cell: 15.144

Cell lengths 14.075, 14.075, 12.126 Å; angles 101.91, 101.91, 37.96 degrees
Positions (direct):
Cs (0.000, 0.000, 0.000)
Cs (0.235, 0.235, 0.648)
Cs (0.345, 0.345, 0.331)
Cs (0.655, 0.655, 0.669)
Cs (0.765, 0.765, 0.352)
K (0.057, 0.057, 0.659)
K (0.073, 0.592, 0.978)
K (0.133, 0.661, 0.658)
K (0.339, 0.867, 0.342)
K (0.408, 0.927, 0.022)
K (0.479, 0.479, 0.178)
K (0.521, 0.521, 0.822)
K (0.592, 0.073, 0.978)
K (0.661, 0.133, 0.658)
K (0.867, 0.339, 0.342)
K (0.927, 0.408, 0.022)
K (0.943, 0.943, 0.341)
Cd (0.341, 0.659, 0.500)
Cd (0.659, 0.341, 0.500)